No. 1
Entry from the Alexandria database: crystalline Mg2Si2Pd at its relaxed geometry (PBEsol).

Results
For the density of states at the Fermi level, the calculation gives 1.82 states/eV/f.u. The calculation puts the energy relative to the elements, uncorrected at -399 meV/atom. As for the space group: P4/mbm (127).

Lattice parameters (Å, degrees): 4.2713 6.2439 6.2439 90.00 90.00 90.00
With the nearest neighbours (Å) after each atom.
Atoms (fractional coordinates):
Si: 0.0000 0.3655 0.8655  1 Si 2.37, 2 Pd 2.43
Si: 0.0000 0.8655 0.6345  1 Si 2.37, 2 Pd 2.43
Si: 0.0000 0.6345 0.1345  1 Si 2.37, 2 Pd 2.43
Si: 0.0000 0.1345 0.3655  1 Si 2.37, 2 Pd 2.43
Mg: 0.5000 0.1749 0.6749  6 Si 2.72-2.89
Mg: 0.5000 0.6749 0.8251  6 Si 2.72-2.89
Mg: 0.5000 0.8251 0.3251  6 Si 2.72-2.89
Mg: 0.5000 0.3251 0.1749  6 Si 2.72-2.89
Pd: 0.0000 0.0000 0.0000  4 Si 2.43
Pd: 0.0000 0.5000 0.5000  4 Si 2.43

No. 2
Entry from the Alexandria database: crystalline SmMgPd at its relaxed geometry (PBEsol).

Results
For the density of states at the Fermi level, the calculation gives 2.17 states/eV/f.u. The value obtained for the formation energy is -0.639 eV per atom. As for the space group: P-62m (189).

Lattice parameters (Å, degrees): 4.0321 7.4822 7.4822 120.00 90.00 90.00
With the nearest neighbours (Å) after each atom.
Atoms (fractional coordinates):
Mg: 0.0000 0.7576 0.0000  4 Pd 2.71-2.89
Mg: 0.0000 0.2424 0.2424  4 Pd 2.71-2.89
Mg: 0.0000 0.0000 0.7576  4 Pd 2.71-2.89
Pd: 0.0000 0.6667 0.3333  3 Mg 2.89, 6 Sm 3.03
Pd: 0.0000 0.3333 0.6667  3 Mg 2.89, 6 Sm 3.03
Pd: 0.5000 0.0000 0.0000  6 Mg 2.71
Sm: 0.5000 0.4132 0.0000  5 Pd 3.03-3.09, 6 Mg 3.27-3.36
Sm: 0.5000 0.0000 0.4132  5 Pd 3.03-3.09, 6 Mg 3.27-3.36
Sm: 0.5000 0.5868 0.5868  5 Pd 3.03-3.09, 6 Mg 3.27-3.36